## Ac2MgGa3Au12 (PBE)

Data for an optimized crystal structure of Ac2MgGa3Au12.

## Properties
The spin magnetization is 0.00 μB/f.u. The calculation puts the energy of formation from the pure elements at -218 meV/atom.

Lattice parameters (Å, degrees): 9.4018 9.4018 17.4192 90.00 90.00 120.00
Space group R-3m (No. 166, hexagonal axes)
Symmetry-distinct sites (fractional):
1 Ac 0.0000 0.0000 0.1137 [6 per cell]
2 Mg 0.0000 0.0000 0.5000 [3 per cell]
3 Ga 0.0000 0.5000 0.0000 [9 per cell]
4 Au 0.0030 0.5015 0.1442 [18 per cell]
5 Au 0.0099 0.5049 0.3205 [18 per cell]

---

## AcMg2GaAu4 (PBE)

Data for an optimized crystal structure of AcMg2GaAu4.

## Properties
The spin magnetization is 0.00 μB/f.u. The calculation puts the energy of formation from the pure elements at -576 meV/atom.

Lattice parameters (Å, degrees): 4.6057 4.6057 28.3178 90.00 90.00 120.00
Space group R-3m (No. 166, hexagonal axes)
Symmetry-distinct sites (fractional):
1 Ac 0.0000 0.0000 0.0000 [3 per cell]
2 Mg 0.0000 0.0000 0.2339 [6 per cell]
3 Ga 0.0000 0.0000 0.5000 [3 per cell]
4 Au 0.0000 0.0000 0.1304 [6 per cell]
5 Au 0.0000 0.0000 0.4003 [6 per cell]

---

## AcMgGaAu3 (PBE)

Data for an optimized crystal structure of AcMgGaAu3.

## Properties
The spin magnetization is 0.00 μB/f.u. The calculation puts the energy of formation from the pure elements at -485 meV/atom.

Lattice parameters (Å, degrees): 6.5874 12.5313 6.9930 90.00 90.00 90.00
Space group Cmcm (No. 63)
Symmetry-distinct sites (fractional):
1 Ac 0.0000 0.2004 0.2500 [4 per cell]
2 Mg 0.0000 0.1200 0.7500 [4 per cell]
3 Ga 0.0000 0.4566 0.2500 [4 per cell]
4 Au 0.0000 0.3283 0.7500 [4 per cell]
5 Au 0.2194 0.0000 0.0000 [8 per cell]

---

## AcMg2Ga2Au (PBE)

Data for an optimized crystal structure of AcMg2Ga2Au.

## Properties
The spin magnetization is 0.00 μB/f.u. The calculation puts the energy of formation from the pure elements at -164 meV/atom.

Lattice parameters (Å, degrees): 5.1633 5.1633 11.7874 90.00 90.00 90.00
Space group I4/mmm (No. 139)
Symmetry-distinct sites (fractional):
1 Ac 0.0000 0.0000 0.0000 [2 per cell]
2 Mg 0.0000 0.5000 0.2500 [4 per cell]
3 Ga 0.0000 0.0000 0.2917 [4 per cell]
4 Au 0.0000 0.0000 0.5000 [2 per cell]

---

## AcMgGaAu2 (PBE)

Data for an optimized crystal structure of AcMgGaAu2.

## Properties
The spin magnetization is 0.00 μB/f.u. The calculation puts the energy of formation from the pure elements at -681 meV/atom.

Lattice parameters (Å, degrees): 4.3309 4.3309 12.5153 90.00 90.00 90.00
Space group I-4m2 (No. 119)
Symmetry-distinct sites (fractional):
1 Ac 0.0000 0.0000 0.0000 [2 per cell]
2 Mg 0.0000 0.5000 0.7500 [2 per cell]
3 Ga 0.0000 0.5000 0.2500 [2 per cell]
4 Au 0.0000 0.0000 0.3845 [4 per cell]

---

## Ac2MnGa3Au12 (PBE)

Data for an optimized crystal structure of Ac2MnGa3Au12.

## Properties
The spin magnetization is 3.75 μB/f.u. The calculation puts the energy of formation from the pure elements at -268 meV/atom.

Lattice parameters (Å, degrees): 6.5577 6.5577 32.7905 90.00 90.00 120.00
Space group R-3m (No. 166, hexagonal axes)
Symmetry-distinct sites (fractional):
1 Ac 0.0000 0.0000 0.1397 [6 per cell]
2 Mn 0.0000 0.0000 0.5000 [3 per cell]
3 Ga 0.0000 0.5000 0.0000 [9 per cell]
4 Au 0.0096 0.5048 0.8884 [18 per cell]
5 Au 0.0469 0.5234 0.6187 [18 per cell]

---

Which of these has the lowest energy of formation from the pure elements?
AcMgGaAu2

---

Please write out number 1 again, unchanged.
## Ac2MgGa3Au12 (PBE)

Data for an optimized crystal structure of Ac2MgGa3Au12.

## Properties
The spin magnetization is 0.00 μB/f.u. The calculation puts the energy of formation from the pure elements at -218 meV/atom.

Lattice parameters (Å, degrees): 9.4018 9.4018 17.4192 90.00 90.00 120.00
Space group R-3m (No. 166, hexagonal axes)
Symmetry-distinct sites (fractional):
1 Ac 0.0000 0.0000 0.1137 [6 per cell]
2 Mg 0.0000 0.0000 0.5000 [3 per cell]
3 Ga 0.0000 0.5000 0.0000 [9 per cell]
4 Au 0.0030 0.5015 0.1442 [18 per cell]
5 Au 0.0099 0.5049 0.3205 [18 per cell]

---

What is the spin magnetization in the fifth record?
0.00 μB/f.u.

---

Which value of energy of formation from the pure elements does entry 6 give?
-268 meV/atom